No. 1
KPrNiSe3 | PBE | relaxed

a = 8.756 Å, b = 4.153 Å, c = 10.266 Å
α = 90.00°, β = 107.23°, γ = 90.00°
Fractional positions:
K (0.243, 0.250, 0.283)
K (0.757, 0.750, 0.717)
Pr (0.309, 0.750, 0.862)
Pr (0.691, 0.250, 0.138)
Ni (0.074, 0.250, 0.590)
Ni (0.926, 0.750, 0.410)
Se (0.062, 0.250, 0.823)
Se (0.193, 0.750, 0.549)
Se (0.454, 0.750, 0.158)
Se (0.546, 0.250, 0.842)
Se (0.807, 0.250, 0.451)
Se (0.938, 0.750, 0.177)

* VASP energy: -57.7 eV/cell
* total moment: 2.6 μB per cell

---

No. 2
KPrNiSe3 | PBE | relaxed

a = 8.747 Å, b = 8.747 Å, c = 8.798 Å
α = 102.72°, β = 102.72°, γ = 29.10°
Fractional positions:
K (0.140, 0.140, 0.076)
K (0.860, 0.860, 0.924)
Pr (0.170, 0.170, 0.600)
Pr (0.830, 0.830, 0.400)
Ni (0.500, 0.500, 0.288)
Ni (0.500, 0.500, 0.712)
Se (0.000, 0.000, 0.500)
Se (0.349, 0.349, 0.643)
Se (0.354, 0.354, 0.194)
Se (0.500, 0.500, 0.000)
Se (0.646, 0.646, 0.806)
Se (0.651, 0.651, 0.357)

* VASP energy: -55.8 eV/cell
* total moment: 1.3 μB per cell

---

No. 3
KPrNiSe4 | PBE | relaxed

a = 6.475 Å, b = 6.297 Å, c = 9.586 Å
α = 90.00°, β = 108.66°, γ = 90.00°
Fractional positions:
K (0.231, 0.000, 0.434)
K (0.769, 0.500, 0.566)
Pr (0.267, 0.004, 0.953)
Pr (0.733, 0.504, 0.047)
Ni (0.277, 0.504, 0.182)
Ni (0.723, 0.004, 0.818)
Se (0.094, 0.500, 0.345)
Se (0.131, 0.506, 0.930)
Se (0.462, 0.267, 0.764)
Se (0.464, 0.742, 0.765)
Se (0.536, 0.242, 0.235)
Se (0.538, 0.767, 0.236)
Se (0.869, 0.006, 0.070)
Se (0.906, 0.000, 0.655)

* VASP energy: -64.2 eV/cell
* total moment: 0.0 μB per cell

---

No. 4
KPrSmNi2 | PBE | relaxed

a = 3.830 Å, b = 9.355 Å, c = 9.355 Å
α = 24.88°, β = 90.00°, γ = 90.00°
Fractional positions:
K (0.000, 0.000, 0.000)
Pr (0.500, 0.668, 0.668)
Sm (0.500, 0.335, 0.335)
Ni (0.000, 0.216, 0.216)
Ni (0.000, 0.795, 0.795)

* VASP energy: -22.3 eV/cell
* total moment: 0.0 μB per cell

---

No. 5
KRbNi | PBE | relaxed

a = 5.575 Å, b = 5.575 Å, c = 5.575 Å
α = 60.00°, β = 60.00°, γ = 60.00°
Fractional positions:
K (0.000, 0.000, 0.000)
Rb (0.250, 0.250, 0.250)
Ni (0.750, 0.750, 0.750)

* energy relative to the lowest polymorph listed for this composition: 0.000 eV per atom
* total moment: 0.0 μB per cell

---

No. 6
KRbNiSeS2 | PBE | relaxed

a = 6.632 Å, b = 7.011 Å, c = 8.985 Å
α = 90.99°, β = 111.07°, γ = 118.03°
Fractional positions:
K (0.228, 0.296, 0.137)
K (0.772, 0.704, 0.863)
Rb (0.363, 0.063, 0.661)
Rb (0.637, 0.937, 0.339)
Ni (0.052, 0.459, 0.648)
Ni (0.948, 0.541, 0.352)
Se (0.280, 0.676, 0.907)
Se (0.720, 0.324, 0.093)
S (0.039, 0.828, 0.252)
S (0.259, 0.505, 0.501)
S (0.741, 0.495, 0.499)
S (0.961, 0.172, 0.748)

* energy relative to the lowest polymorph listed for this composition: 0.000 eV per atom
* total moment: 0.0 μB per cell

---

No. 7
KRbNiSeS2 | PBE | relaxed

a = 7.200 Å, b = 7.200 Å, c = 9.430 Å
α = 116.10°, β = 116.10°, γ = 55.08°
Fractional positions:
K (0.091, 0.091, 0.360)
K (0.909, 0.909, 0.640)
Rb (0.318, 0.318, 0.180)
Rb (0.682, 0.682, 0.820)
Ni (0.407, 0.407, 0.850)
Ni (0.593, 0.593, 0.150)
Se (0.205, 0.205, 0.754)
Se (0.795, 0.795, 0.246)
S (0.244, 0.756, 0.000)
S (0.375, 0.375, 0.606)
S (0.625, 0.625, 0.394)
S (0.756, 0.244, 0.000)

* energy relative to the lowest polymorph listed for this composition: 0.008 eV per atom
* total moment: 0.0 μB per cell

---

No. 8
KReNi | PBE | relaxed

a = 4.551 Å, b = 4.551 Å, c = 4.551 Å
α = 60.00°, β = 60.00°, γ = 60.00°
Fractional positions:
K (0.000, 0.000, 0.000)
Re (0.500, 0.500, 0.500)
Ni (0.250, 0.250, 0.250)

* energy relative to the lowest polymorph listed for this composition: 0.000 eV per atom
* total moment: 4.0 μB per cell

---

No. 9
KNi4S2 | PBE | relaxed

a = 8.262 Å, b = 8.262 Å, c = 3.690 Å
α = 90.00°, β = 90.00°, γ = 154.17°
Fractional positions:
K (0.000, 0.000, 0.000)
Ni (0.196, 0.804, 0.500)
Ni (0.306, 0.694, 0.000)
Ni (0.694, 0.306, 0.000)
Ni (0.804, 0.196, 0.500)
S (0.379, 0.621, 0.500)
S (0.621, 0.379, 0.500)

* VASP energy: -34.9 eV/cell
* total moment: 1.1 μB per cell

---

No. 10
K2Ni2S5 | PBE | relaxed

a = 6.412 Å, b = 6.412 Å, c = 10.819 Å
α = 106.60°, β = 106.60°, γ = 72.92°
Fractional positions:
K (0.054, 0.410, 0.320)
K (0.410, 0.054, 0.820)
K (0.590, 0.946, 0.180)
K (0.946, 0.590, 0.680)
Ni (0.247, 0.567, 0.055)
Ni (0.433, 0.753, 0.445)
Ni (0.567, 0.247, 0.555)
Ni (0.753, 0.433, 0.945)
S (0.103, 0.276, 0.024)
S (0.203, 0.797, 0.250)
S (0.276, 0.103, 0.524)
S (0.397, 0.599, 0.899)
S (0.401, 0.603, 0.601)
S (0.599, 0.397, 0.399)
S (0.603, 0.401, 0.101)
S (0.724, 0.897, 0.476)
S (0.797, 0.203, 0.750)
S (0.897, 0.724, 0.976)

* VASP energy: -76.7 eV/cell
* total moment: 0.1 μB per cell

---

No. 11
KNiSbS3 | PBE | relaxed

a = 7.142 Å, b = 7.142 Å, c = 10.615 Å
α = 90.00°, β = 90.00°, γ = 147.92°
Fractional positions:
K (0.239, 0.761, 0.750)
K (0.761, 0.239, 0.250)
Ni (0.038, 0.962, 0.250)
Ni (0.962, 0.038, 0.750)
Sb (0.500, 0.500, 0.000)
Sb (0.500, 0.500, 0.500)
S (0.126, 0.874, 0.067)
S (0.126, 0.874, 0.433)
S (0.454, 0.546, 0.250)
S (0.546, 0.454, 0.750)
S (0.874, 0.126, 0.567)
S (0.874, 0.126, 0.933)

* VASP energy: -51.9 eV/cell
* total moment: 3.6 μB per cell

---

No. 12
K2NiSeS2 | PBE | relaxed

a = 6.747 Å, b = 6.747 Å, c = 8.643 Å
α = 110.01°, β = 110.01°, γ = 57.84°
Fractional positions:
K (0.084, 0.084, 0.364)
K (0.289, 0.289, 0.143)
K (0.711, 0.711, 0.857)
K (0.916, 0.916, 0.636)
Ni (0.411, 0.411, 0.839)
Ni (0.589, 0.589, 0.161)
Se (0.417, 0.417, 0.559)
Se (0.583, 0.583, 0.441)
S (0.215, 0.215, 0.754)
S (0.247, 0.753, 0.000)
S (0.753, 0.247, 0.000)
S (0.785, 0.785, 0.246)

* VASP energy: -46.8 eV/cell
* total moment: 0.0 μB per cell